The following is a DFT calculation (GGA-PBE) of a relaxed structure of RbCe2P2N6.

Cell: 6.443 6.523 6.488 Å, 115.77 89.99 60.42°
Last column: magnetic moment on the atom in μB.
Fractional positions:
N 0.068 0.865 0.627  -0.01
N 0.403 0.602 0.836  -0.01
N 0.005 0.399 0.164  -0.01
N 0.932 0.135 0.373  -0.01
N 0.597 0.398 0.164  -0.01
N 0.995 0.601 0.836  -0.01
P 0.846 0.308 0.244  0.01
P 0.154 0.692 0.756  0.01
Ce 0.821 0.357 0.806  0.52
Ce 0.179 0.643 0.194  0.52
Rb 0.500 0.000 0.500  0.00

## Properties
Formation energy from raw total energies: -0.787 eV per atom
Raw total energy: -7.478 eV/atom
Space group: C2/m, No. 12

The following is a DFT calculation (GGA-PBE) of a relaxed structure of LaTbCeTh.

Cell: 5.697 5.697 5.697 Å, 60.00 60.00 60.00°
Last column: magnetic moment on the atom in μB.
Fractional positions:
Ce 0.500 0.500 0.500  0.64
Th 0.750 0.750 0.750  0.14
La 0.250 0.250 0.250  0.10
Tb 0.000 0.000 0.000  0.12

## Properties
Polymorph energy (0 for the lowest one): 183 meV/atom
Raw total energy: -5.513 eV/atom
Space group: F-43m, No. 216

The following is a DFT calculation (GGA-PBE) of a relaxed structure of KAgHBr3.

Cell: 7.203 7.203 8.726 Å, 71.47 71.47 74.63°
Fractional positions:
Br 0.299 0.792 0.195
Br 0.701 0.208 0.805
Br 0.752 0.752 0.473
Br 0.792 0.299 0.195
Br 0.208 0.701 0.805
Br 0.248 0.248 0.527
K 0.716 0.716 0.896
K 0.284 0.284 0.104
Ag 0.714 0.286 0.500
Ag 0.286 0.714 0.500
H 0.120 0.120 0.659
H 0.880 0.880 0.341

## Properties
Raw total energy: -2.776 eV/atom
Space group: C2/m, No. 12

The following is a DFT calculation (GGA-PBE) of a relaxed structure of ReRu.

Cell: 4.610 6.801 7.871 Å, 90.00 90.00 90.00°
Fractional positions:
Ru 0.748 0.118 0.271
Ru 0.756 0.506 0.827
Ru 0.744 0.494 0.327
Ru 0.248 0.382 0.729
Ru 0.244 0.006 0.673
Ru 0.252 0.618 0.229
Ru 0.752 0.882 0.771
Ru 0.256 0.994 0.173
Re 0.758 0.218 0.598
Re 0.242 0.718 0.902
Re 0.258 0.282 0.402
Re 0.429 0.671 0.554
Re 0.071 0.329 0.054
Re 0.929 0.829 0.446
Re 0.742 0.782 0.098
Re 0.571 0.171 0.946

## Properties
Raw total energy: -10.493 eV/atom
Space group: P2_12_12_1, No. 19

The following is a DFT calculation (GGA-PBE) of a relaxed structure of CuAgCl2.

Cell: 3.451 3.868 6.505 Å, 90.92 90.00 90.00°
Fractional positions:
Cu 0.500 0.250 0.250
Ag 0.500 0.750 0.750
Cl 0.000 0.424 0.485
Cl 0.000 0.076 0.015

## Properties
Formation energy from raw total energies: -0.273 eV per atom
Raw total energy: -2.933 eV/atom
Space group: P2/m, No. 10

The following is a DFT calculation (GGA-PBE) of a relaxed structure of Np2UNiS4.

Cell: 6.652 5.791 5.791 Å, 70.74 54.95 54.95°
Last column: magnetic moment on the atom in μB.
Fractional positions:
S 0.501 0.000 0.392  -0.09
S 0.499 0.608 0.000  -0.09
S 0.107 0.392 0.000  -0.09
S 0.893 0.000 0.608  -0.09
Np 0.000 0.500 0.500  4.18
Np 0.500 0.500 0.500  4.18
Ni 0.500 0.000 0.000  -0.28
U 0.000 0.000 0.000  2.77

## Properties
Formation energy from raw total energies: -1.061 eV per atom
Raw total energy: -8.494 eV/atom
Space group: I-42m, No. 121

| no. | density (g/cm³) |
| --- | --- |
| 1 | 4.14 |
| 2 | 8.51 |
| 3 | 3.22 |
| 4 | 15.47 |
| 5 | 4.63 |
| 6 | 9.98 |